[1]
LiVP2O7: relaxed, PBE+U.

Properties
Its density is 2.8 g/cm3. For the total magnetization, the calculation gives 0.182 μB per atom. The calculation puts the calculated total energy at -7.19 eV per atom.

a = 6.307 Å, b = 6.502 Å, c = 8.025 Å
α = 98.21°, β = 105.12°, γ = 113.57°
Fractional coordinates of all 22 atoms:
1 Li 0.000 0.000 0.000
2 Li 0.000 0.000 0.500
3 V 0.602 0.314 0.765
4 V 0.398 0.686 0.235
5 P 0.171 0.442 0.780
6 P 0.555 0.777 0.688
7 P 0.445 0.223 0.312
8 P 0.829 0.558 0.220
9 O 0.288 0.598 0.970
10 O 0.237 0.236 0.753
11 O 0.597 0.008 0.801
12 O 0.721 0.686 0.798
13 O 0.272 0.592 0.648
14 O 0.895 0.351 0.702
15 O 0.411 0.210 0.494
16 O 0.589 0.790 0.506
17 O 0.105 0.649 0.298
18 O 0.728 0.408 0.352
19 O 0.279 0.314 0.202
20 O 0.403 0.992 0.199
21 O 0.763 0.764 0.247
22 O 0.712 0.402 0.030

[2]
LiVP2O7: relaxed, PBE+U.

Properties
Its density is 2.8 g/cm3. For the total magnetization, the calculation gives 0.182 μB per atom. The calculation puts the calculated total energy at -7.27 eV per atom.

a = 8.320 Å, b = 4.899 Å, c = 7.045 Å
α = 71.77°, β = 90.00°, γ = 90.00°
Fractional coordinates of all 22 atoms:
1 Li 0.643 0.325 0.168
2 Li 0.143 0.675 0.832
3 V 0.000 0.288 0.227
4 V 0.500 0.712 0.773
5 P 0.321 0.101 0.026
6 P 0.821 0.899 0.974
7 P 0.714 0.279 0.586
8 P 0.214 0.721 0.414
9 O 0.961 0.686 0.015
10 O 0.346 0.911 0.256
11 O 0.066 0.909 0.416
12 O 0.566 0.091 0.584
13 O 0.461 0.314 0.985
14 O 0.846 0.089 0.744
15 O 0.325 0.896 0.900
16 O 0.825 0.104 0.100
17 O 0.673 0.538 0.652
18 O 0.800 0.361 0.385
19 O 0.658 0.747 0.992
20 O 0.158 0.253 0.008
21 O 0.300 0.639 0.615
22 O 0.173 0.462 0.348